Material: ErAlOs
Method: DFT, PBE
State: relaxed

abc: 4.4162 4.4162 4.4162
angles: 60.00 60.00 60.00
Fractional coordinates of all 3 atoms:
Al  0.0000  0.0000  0.0000
Er  0.2500  0.2500  0.2500
Os  0.7500  0.7500  0.7500

Calculated values
Size of the total moment   0.01 μB per formula unit
Calculated volume   20.3 Å³ per atom
Mass density   10.5 Mg/m³
Energy   -6.387 eV per atom
Symmetry   No. 216